! ZrTl2Pb PBE relaxed; values from VASP
! Space group: No. 6
! Offset from the most stable computed form in eV/atom: 0.055
! Spin magnetization in Bohr magnetons per cell: 0.00
! V in Å³/atom: 26.9
! Energy relative to the elements in meV/atom: 82
&SYSTEM
  ibrav = 0, nat = 4, ntyp = 3
/
ATOMIC_SPECIES
Zr 91.22 Zr.upf
Tl 204.38 Tl.upf
Pb 207.20 Pb.upf
CELL_PARAMETERS angstrom
3.397 0.000 0.000
0.000 5.180 0.000
-1.677 0.000 6.109
ATOMIC_POSITIONS crystal
Zr 0.000 0.000 0.000
Tl 0.254 0.000 0.508
Tl 0.845 0.500 0.698
Pb 0.570 0.500 0.154